1.
VASP calculation (PBE-GGA) on a geometry-optimized BaHg13 structure.

```
BaHg13
1.0
0.0000 7.4282 7.4282
7.4282 0.0000 7.4282
7.4282 7.4282 0.0000
Ba Hg
2 26
Direct
0.2500 0.2500 0.2500 Ba
0.7500 0.7500 0.7500 Ba
0.0000 0.0000 0.0000 Hg
0.0516 0.3029 0.6971 Hg
0.0516 0.6971 0.9484 Hg
0.0516 0.9484 0.3029 Hg
0.1971 0.4484 0.8029 Hg
0.1971 0.5516 0.4484 Hg
0.1971 0.8029 0.5516 Hg
0.3029 0.0516 0.9484 Hg
0.3029 0.6971 0.0516 Hg
0.3029 0.9484 0.6971 Hg
0.4484 0.1971 0.5516 Hg
0.4484 0.5516 0.8029 Hg
0.4484 0.8029 0.1971 Hg
0.5000 0.5000 0.5000 Hg
0.5516 0.1971 0.8029 Hg
0.5516 0.4484 0.1971 Hg
0.5516 0.8029 0.4484 Hg
0.6971 0.0516 0.3029 Hg
0.6971 0.3029 0.9484 Hg
0.6971 0.9484 0.0516 Hg
0.8029 0.1971 0.4484 Hg
0.8029 0.4484 0.5516 Hg
0.8029 0.5516 0.1971 Hg
0.9484 0.0516 0.6971 Hg
0.9484 0.3029 0.0516 Hg
0.9484 0.6971 0.3029 Hg
```

Values from the calculation:
E_form ... -6.38 kJ per mole of atoms
Space-group type ... Fm-3c (226)

---

2.
VASP calculation (PBE-GGA) on a geometry-optimized Nd3Ho3Sc structure.

```
Nd3Ho3Sc
1.0
9.5662 0.0000 0.0000
-4.7831 8.2845 0.0000
0.0000 0.0000 5.6764
Nd Ho Sc
6 6 2
Direct
0.0971 0.4775 0.2500 Nd
0.3804 0.9029 0.2500 Nd
0.4775 0.3804 0.7500 Nd
0.5225 0.6196 0.2500 Nd
0.6196 0.0971 0.7500 Nd
0.9029 0.5225 0.7500 Nd
0.0501 0.2378 0.7500 Ho
0.1877 0.9499 0.7500 Ho
0.2378 0.1877 0.2500 Ho
0.7622 0.8123 0.7500 Ho
0.8123 0.0501 0.2500 Ho
0.9499 0.7622 0.2500 Ho
0.3333 0.6667 0.7500 Sc
0.6667 0.3333 0.2500 Sc
```

Values from the calculation:
E_form ... 3.35 kJ per mole of atoms
Excess energy over the best structure of this formula in the dataset ... 0 meV/atom
Space-group type ... P6_3/m (176)

---

3.
VASP calculation (PBE-GGA) on a geometry-optimized Be2GaH2 structure.

```
Be2GaH2
1.0
6.3278 0.0000 0.0000
0.0000 6.3278 0.0000
0.0000 0.0000 2.3558
Be Ga H
4 2 4
Direct
0.1142 0.3858 0.0000 Be
0.3858 0.8858 0.0000 Be
0.6142 0.1142 0.0000 Be
0.8858 0.6142 0.0000 Be
0.0000 0.0000 0.0000 Ga
0.5000 0.5000 0.0000 Ga
0.1050 0.6050 0.5000 H
0.3950 0.1050 0.5000 H
0.6050 0.8950 0.5000 H
0.8950 0.3950 0.5000 H
```

Values from the calculation:
Excess energy over the best structure of this formula in the dataset ... 364 meV/atom
Space-group type ... P4/mbm (127)

---

4.
VASP calculation (PBE-GGA) on a geometry-optimized TaPd2Au structure.

```
TaPd2Au
1.0
2.8674 0.0000 0.0000
0.0000 8.6721 0.0000
-1.4027 0.0000 5.3832
Ta Pd Au
2 4 2
Direct
0.2275 0.2500 0.4948 Ta
0.7725 0.7500 0.5052 Ta
0.3829 0.5215 0.7388 Pd
0.3829 0.9785 0.7388 Pd
0.6171 0.0215 0.2612 Pd
0.6171 0.4785 0.2612 Pd
0.0327 0.7500 0.0459 Au
0.9673 0.2500 0.9541 Au
```

Values from the calculation:
E_form ... -19.86 kJ per mole of atoms
Excess energy over the best structure of this formula in the dataset ... 90 meV/atom
Space-group type ... P2_1/m (11)

---

5.
VASP calculation (PBE-GGA) on a geometry-optimized GdAl5 structure.

```
GdAl5
1.0
4.2451 0.0000 0.0000
0.0000 12.4015 0.0000
0.0000 0.0000 4.2625
Gd Al
2 10
Direct
0.0000 0.0000 0.0000 Gd
0.5000 0.5000 0.0000 Gd
0.0000 0.1735 0.5000 Al
0.0000 0.3221 0.0000 Al
0.0000 0.5000 0.5000 Al
0.0000 0.6779 0.0000 Al
0.0000 0.8265 0.5000 Al
0.5000 0.0000 0.5000 Al
0.5000 0.1779 0.0000 Al
0.5000 0.3265 0.5000 Al
0.5000 0.6735 0.5000 Al
0.5000 0.8221 0.0000 Al
```

Values from the calculation:
E_form ... -22.70 kJ per mole of atoms
Space-group type ... Cmmm (65)

---

6.
VASP calculation (PBE-GGA) on a geometry-optimized MgCoPb2 structure.

```
MgCoPb2
1.0
4.5963 0.0000 0.0000
0.0000 4.5963 0.0000
0.0000 0.0000 18.6414
Mg Co Pb
4 4 8
Direct
0.0000 0.0000 0.0000 Mg
0.0000 0.5000 0.2500 Mg
0.5000 0.0000 0.7500 Mg
0.5000 0.5000 0.5000 Mg
0.0000 0.0000 0.5000 Co
0.0000 0.5000 0.7500 Co
0.5000 0.0000 0.2500 Co
0.5000 0.5000 0.0000 Co
0.2252 0.2500 0.6250 Pb
0.2500 0.7252 0.8750 Pb
0.2500 0.7748 0.3750 Pb
0.2748 0.2500 0.1250 Pb
0.7252 0.7500 0.1250 Pb
0.7500 0.2252 0.3750 Pb
0.7500 0.2748 0.8750 Pb
0.7748 0.7500 0.6250 Pb
```

Values from the calculation:
E_form ... 48.68 kJ per mole of atoms
Space-group type ... I-42d (122)

---

7.
VASP calculation (PBE-GGA) on a geometry-optimized RbBa2NaF structure.

```
RbBa2NaF
1.0
5.6902 0.0000 0.0000
0.0000 5.6902 0.0000
0.0000 0.0000 6.9595
Rb Ba Na F
1 2 1 1
Direct
0.0000 0.0000 0.0000 Rb
0.0000 0.5000 0.5000 Ba
0.5000 0.0000 0.5000 Ba
0.5000 0.5000 0.0000 Na
0.0000 0.0000 0.5000 F
```

Values from the calculation:
Space-group type ... P4/mmm (123)
Energy relative to the elements, uncorrected ... -975 meV/atom

---

8.
VASP calculation (PBE-GGA) on a geometry-optimized K4Pm3TaS8 structure.

```
K4Pm3TaS8
1.0
4.0289 2.3261 7.4043
-4.0289 2.3261 7.4043
0.0000 -4.6522 7.4043
K Pm Ta S
4 3 1 8
Direct
0.0000 0.0000 0.0000 K
0.0000 0.5000 0.5000 K
0.5000 0.0000 0.5000 K
0.5000 0.5000 0.0000 K
0.0000 0.0000 0.5000 Pm
0.0000 0.5000 0.0000 Pm
0.5000 0.0000 0.0000 Pm
0.5000 0.5000 0.5000 Ta
0.2375 0.2375 0.2375 S
0.2600 0.7198 0.7198 S
0.2802 0.2802 0.7400 S
0.2802 0.7400 0.2802 S
0.7198 0.2600 0.7198 S
0.7198 0.7198 0.2600 S
0.7400 0.2802 0.2802 S
0.7625 0.7625 0.7625 S
```

Values from the calculation:
Space-group type ... R-3m (166)
Energy relative to the elements, uncorrected ... -1581 meV/atom

---

9.
VASP calculation (PBE-GGA) on a geometry-optimized CdGa2Pt structure.

```
CdGa2Pt
1.0
3.0770 0.0000 0.0000
-1.5385 2.6648 0.0000
0.0000 0.0000 28.0373
Cd Ga Pt
3 6 3
Direct
0.0000 0.0000 0.0000 Cd
0.3333 0.6667 0.6667 Cd
0.6667 0.3333 0.3333 Cd
0.0000 0.0000 0.0973 Ga
0.0000 0.0000 0.9027 Ga
0.3333 0.6667 0.5694 Ga
0.3333 0.6667 0.7640 Ga
0.6667 0.3333 0.2360 Ga
0.6667 0.3333 0.4306 Ga
0.0000 0.0000 0.5000 Pt
0.3333 0.6667 0.1667 Pt
0.6667 0.3333 0.8333 Pt
```

Values from the calculation:
E_form ... -18.71 kJ per mole of atoms
Space-group type ... R-3m (166)

---

10.
VASP calculation (PBE-GGA) on a geometry-optimized ZrHgS2 structure.

```
ZrHgS2
1.0
3.6591 0.0000 0.0000
0.0002 6.3287 0.0000
1.6815 2.0241 9.5705
Zr Hg S
2 2 4
Direct
0.2494 0.2500 0.0010 Zr
0.7506 0.7500 0.9990 Zr
0.0036 0.7534 0.4934 Hg
0.9964 0.2466 0.5066 Hg
0.1792 0.5346 0.1544 S
0.3217 0.9668 0.8443 S
0.6783 0.0332 0.1557 S
0.8208 0.4654 0.8456 S
```

Values from the calculation:
Space-group type ... P-1 (2)
Energy relative to the elements, uncorrected ... -1130 meV/atom

---

11.
VASP calculation (PBE-GGA) on a geometry-optimized ErPa2Te5 structure.

```
ErPa2Te5
1.0
7.4537 0.0000 0.0000
0.0000 7.4537 0.0000
0.0000 0.0000 5.2003
Er Pa Te
1 2 5
Direct
0.0000 0.0000 0.0000 Er
0.0000 0.5000 0.5000 Pa
0.5000 0.0000 0.5000 Pa
0.0000 0.0000 0.5000 Te
0.2783 0.2783 0.0000 Te
0.2783 0.7217 0.0000 Te
0.7217 0.2783 0.0000 Te
0.7217 0.7217 0.0000 Te
```

Values from the calculation:
Space-group type ... P4/mmm (123)
Energy relative to the elements, uncorrected ... -93 meV/atom

---

12.
VASP calculation (PBE-GGA) on a geometry-optimized HfV2Mo structure.

```
HfV2Mo
1.0
3.0196 0.0000 0.0000
-1.5098 2.6150 0.0000
0.0000 0.0000 25.3213
Hf V Mo
3 6 3
Direct
0.0000 0.0000 0.0000 Hf
0.3333 0.6667 0.6667 Hf
0.6667 0.3333 0.3333 Hf
0.0000 0.0000 0.2410 V
0.0000 0.0000 0.7590 V
0.3333 0.6667 0.4257 V
0.3333 0.6667 0.9077 V
0.6667 0.3333 0.0923 V
0.6667 0.3333 0.5743 V
0.0000 0.0000 0.5000 Mo
0.3333 0.6667 0.1667 Mo
0.6667 0.3333 0.8333 Mo
```

Values from the calculation:
E_form ... 26.36 kJ per mole of atoms
Excess energy over the best structure of this formula in the dataset ... 259 meV/atom
Space-group type ... R-3m (166)

---

13.
VASP calculation (PBE-GGA) on a geometry-optimized CdIr2 structure.

```
CdIr2
1.0
2.8246 0.0000 0.0000
-1.4123 2.4462 0.0000
0.0000 0.0000 6.9818
Cd Ir
1 2
Direct
0.0000 0.0000 0.0000 Cd
0.3333 0.6667 0.6512 Ir
0.6667 0.3333 0.3488 Ir
```

Values from the calculation:
E_form ... 17.12 kJ per mole of atoms
Space-group type ... P-3m1 (164)

---

14.
VASP calculation (PBE-GGA) on a geometry-optimized La2ThGeN5 structure.

```
La2ThGeN5
1.0
1.7261 -8.2819 0.0000
1.7261 8.2819 0.0000
0.0000 0.0000 10.0268
La Th Ge N
4 2 2 10
Direct
0.1009 0.8991 0.5000 La
0.1073 0.8927 0.1344 La
0.8927 0.1073 0.6344 La
0.8991 0.1009 0.0000 La
0.2144 0.7856 0.8359 Th
0.7856 0.2144 0.3359 Th
0.4493 0.5507 0.2747 Ge
0.5507 0.4493 0.7747 Ge
0.0415 0.9585 0.8684 N
0.3018 0.6982 0.4921 N
0.3429 0.6571 0.1947 N
0.3565 0.6435 0.8314 N
0.4976 0.5024 0.6112 N
0.5024 0.4976 0.1112 N
0.6435 0.3565 0.3314 N
0.6571 0.3429 0.6947 N
0.6982 0.3018 0.9921 N
0.9585 0.0415 0.3684 N
```

Values from the calculation:
Space-group type ... Cmc2_1 (36)
Energy relative to the elements, uncorrected ... -868 meV/atom

---

15.
VASP calculation (PBE-GGA) on a geometry-optimized Y2Al structure.

```
Y2Al
1.0
-2.3004 2.3004 14.9444
2.3004 -2.3004 14.9444
2.3004 2.3004 -14.9444
Y Al
8 4
Direct
0.0379 0.7879 0.2500 Y
0.1180 0.3680 0.7500 Y
0.2121 0.9621 0.2500 Y
0.3680 0.1180 0.2500 Y
0.6320 0.8820 0.7500 Y
0.7879 0.0379 0.7500 Y
0.8820 0.6320 0.2500 Y
0.9621 0.2121 0.7500 Y
0.2953 0.5453 0.7500 Al
0.4547 0.7047 0.7500 Al
0.5453 0.2953 0.2500 Al
0.7047 0.4547 0.2500 Al
```

Values from the calculation:
E_form ... -20.75 kJ per mole of atoms
Space-group type ... I4_1/amd (141)

---

16.
VASP calculation (PBE-GGA) on a geometry-optimized KBiP2 structure.

```
KBiP2
1.0
7.6056 0.0000 0.0000
0.0000 7.6056 0.0000
0.0000 0.0000 9.2111
K Bi P
4 4 8
Direct
0.0000 0.0000 0.0000 K
0.0000 0.5000 0.2500 K
0.5000 0.0000 0.7500 K
0.5000 0.5000 0.5000 K
0.0000 0.0000 0.5000 Bi
0.0000 0.5000 0.7500 Bi
0.5000 0.0000 0.2500 Bi
0.5000 0.5000 0.0000 Bi
0.1809 0.2500 0.6250 P
0.2500 0.6809 0.8750 P
0.2500 0.8191 0.3750 P
0.3191 0.2500 0.1250 P
0.6809 0.7500 0.1250 P
0.7500 0.1809 0.3750 P
0.7500 0.3191 0.8750 P
0.8191 0.7500 0.6250 P
```

Values from the calculation:
E_form ... 15.32 kJ per mole of atoms
Space-group type ... I-42d (122)

---

17.
VASP calculation (PBE-GGA) on a geometry-optimized Na2LaPb structure.

```
Na2LaPb
1.0
4.6968 0.0000 0.0000
0.0000 4.6968 0.0000
0.0000 0.0000 25.0833
Na La Pb
8 4 4
Direct
0.2177 0.2500 0.1250 Na
0.2500 0.7177 0.3750 Na
0.2500 0.7823 0.8750 Na
0.2823 0.2500 0.6250 Na
0.7177 0.7500 0.6250 Na
0.7500 0.2177 0.8750 Na
0.7500 0.2823 0.3750 Na
0.7823 0.7500 0.1250 Na
0.0000 0.0000 0.5000 La
0.0000 0.5000 0.7500 La
0.5000 0.0000 0.2500 La
0.5000 0.5000 0.0000 La
0.0000 0.0000 0.0000 Pb
0.0000 0.5000 0.2500 Pb
0.5000 0.0000 0.7500 Pb
0.5000 0.5000 0.5000 Pb
```

Values from the calculation:
E_form ... -8.03 kJ per mole of atoms
Space-group type ... I-42d (122)

---

18.
VASP calculation (PBE-GGA) on a geometry-optimized YAg2Ir structure.

```
YAg2Ir
1.0
3.9822 0.0000 0.0000
0.0000 3.9822 0.0000
0.0000 0.0000 20.8315
Y Ag Ir
4 8 4
Direct
0.0000 0.0000 0.0000 Y
0.0000 0.5000 0.2500 Y
0.5000 0.0000 0.7500 Y
0.5000 0.5000 0.5000 Y
0.2299 0.2500 0.6250 Ag
0.2500 0.7299 0.8750 Ag
0.2500 0.7701 0.3750 Ag
0.2701 0.2500 0.1250 Ag
0.7299 0.7500 0.1250 Ag
0.7500 0.2299 0.3750 Ag
0.7500 0.2701 0.8750 Ag
0.7701 0.7500 0.6250 Ag
0.0000 0.0000 0.5000 Ir
0.0000 0.5000 0.7500 Ir
0.5000 0.0000 0.2500 Ir
0.5000 0.5000 0.0000 Ir
```

Values from the calculation:
E_form ... -4.40 kJ per mole of atoms
Excess energy over the best structure of this formula in the dataset ... 241 meV/atom
Space-group type ... I-42d (122)

---

19.
VASP calculation (PBE-GGA) on a geometry-optimized CaPbI2O structure.

```
CaPbI2O
1.0
5.9990 0.0000 0.0000
0.0000 5.9990 0.0000
0.0000 0.0000 4.2477
Ca Pb I O
1 1 2 1
Direct
0.0000 0.0000 0.0000 Ca
0.5000 0.5000 0.5000 Pb
0.0000 0.5000 0.0000 I
0.5000 0.0000 0.0000 I
0.0000 0.0000 0.5000 O
```

Values from the calculation:
Excess energy over the best structure of this formula in the dataset ... 0 meV/atom
Space-group type ... P4/mmm (123)
Energy relative to the elements, uncorrected ... -881 meV/atom

---

20.
VASP calculation (PBE-GGA) on a geometry-optimized LiGa3F structure.

```
LiGa3F
1.0
4.6967 0.0000 0.0000
0.0000 4.6967 0.0000
0.0000 0.0000 4.6967
Li Ga F
1 3 1
Direct
0.0000 0.0000 0.0000 Li
0.0000 0.5000 0.5000 Ga
0.5000 0.0000 0.5000 Ga
0.5000 0.5000 0.0000 Ga
0.5000 0.5000 0.5000 F
```

Values from the calculation:
Excess energy over the best structure of this formula in the dataset ... 0 meV/atom
Space-group type ... Pm-3m (221)
Energy relative to the elements, uncorrected ... -405 meV/atom

---

no.,E (eV per atom)
1,-0.48
2,-4.88
3,-2.73
4,-6.58
5,-5.70
6,-3.52
7,-2.58
8,-5.55
9,-3.45
10,-5.41
11,-5.00
12,-9.48
13,-6.03
14,-7.93
15,-5.77
16,-3.79
17,-2.90
18,-5.30
19,-3.63
20,-2.98